--- a ---
# AgPtBr

AgPtBr at its PBEsol-relaxed geometry (SCAN, Alexandria).

Cell lengths 3.2908, 3.2908, 5.9171 Å; angles 90.00, 90.00, 120.00 degrees
Positions (direct):
Br: 0.3333 0.6667 0.6547
Ag: 0.0000 0.0000 0.0113
Pt: 0.6667 0.3333 0.3340



--- b ---
# AgPtBr

AgPtBr at its PBEsol-relaxed geometry (SCAN, Alexandria).

Cell lengths 4.4437, 4.4437, 4.4437 Å; angles 60.00, 60.00, 60.00 degrees
Positions (direct):
Br: 0.5000 0.5000 0.5000
Ag: 0.0000 0.0000 0.0000
Pt: 0.2500 0.2500 0.2500



Best to worst by energy: a, b.



--- a ---
# Re2AgBr

Re2AgBr at its PBEsol-relaxed geometry (SCAN, Alexandria).

Cell lengths 3.7675, 3.7675, 5.4185 Å; angles 110.34, 110.34, 90.00 degrees
Positions (direct):
Re: 0.7500 0.2500 0.5000
Re: 0.2500 0.7500 0.5000
Br: 0.0000 0.0000 0.0000
Ag: 0.5000 0.5000 0.0000



--- b ---
# Re2AgBr

Re2AgBr at its PBEsol-relaxed geometry (SCAN, Alexandria).

Cell lengths 2.8585, 2.8585, 9.0335 Å; angles 80.90, 80.90, 60.00 degrees
Positions (direct):
Re: 0.2529 0.2529 0.2413
Re: 0.7471 0.7471 0.7587
Br: 0.0000 0.0000 0.0000
Ag: 0.5000 0.5000 0.5000



--- c ---
# Re2AgBr

Re2AgBr at its PBEsol-relaxed geometry (SCAN, Alexandria).

Cell lengths 3.4834, 4.7562, 4.8306 Å; angles 90.00, 90.00, 100.03 degrees
Positions (direct):
Re: 0.3074 0.1707 0.0000
Re: 0.6926 0.8293 0.0000
Br: 0.5000 0.5000 0.5000
Ag: 0.0000 0.0000 0.5000



--- d ---
# Re2AgBr

Re2AgBr at its PBEsol-relaxed geometry (SCAN, Alexandria).

Cell lengths 2.8526, 4.9019, 4.8642 Å; angles 100.74, 107.05, 90.00 degrees
Positions (direct):
Re: 0.2463 0.2533 0.4926
Re: 0.7537 0.7467 0.5074
Br: 0.5000 0.0000 0.0000
Ag: 0.0000 0.5000 0.0000



Best to worst by energy: c, b, d, a.



--- a ---
# ReAg2Br

ReAg2Br at its PBEsol-relaxed geometry (SCAN, Alexandria).

Cell lengths 2.6430, 5.2611, 5.2611 Å; angles 90.00, 90.00, 90.00 degrees
Site moments in Bohr magnetons follow the coordinates.
Positions (direct):
Re: 0.5000 0.0000 0.0000  0.86
Br: 0.5000 0.5000 0.5000  0.04
Ag: 0.0000 0.0000 0.5000  0.02
Ag: 0.0000 0.5000 0.0000  0.02



--- b ---
# ReAg2Br

ReAg2Br at its PBEsol-relaxed geometry (SCAN, Alexandria).

Cell lengths 2.7144, 2.9354, 9.0610 Å; angles 90.00, 89.91, 90.00 degrees
Positions (direct):
Re: 0.0000 0.5000 0.5000
Br: 0.5000 0.5000 0.0000
Ag: 0.4987 0.0000 0.7218
Ag: 0.5013 0.0000 0.2782



Best to worst by energy: b, a.



--- a ---
# Ag2RhBr

Ag2RhBr at its PBEsol-relaxed geometry (SCAN, Alexandria).

Cell lengths 3.0363, 3.0363, 7.4685 Å; angles 90.00, 90.00, 90.00 degrees
Positions (direct):
Rh: 0.5000 0.5000 0.7508
Br: 0.0000 0.0000 0.5322
Ag: 0.0000 0.0000 0.9880
Ag: 0.5000 0.5000 0.2289



--- b ---
# Ag2RhBr

Ag2RhBr at its PBEsol-relaxed geometry (SCAN, Alexandria).

Cell lengths 2.9892, 4.4012, 6.4823 Å; angles 109.85, 103.33, 90.00 degrees
Positions (direct):
Rh: 0.2267 0.7267 0.4533
Br: 0.5647 0.5647 0.1295
Ag: 0.9239 0.9239 0.8479
Ag: 0.7847 0.2847 0.5693



Best to worst by energy: b, a.